Entry 1:
# La2CdSb GGA-PBEsol optimized geometry
# - magnetic moment (μB per atom) = 0.009
# - density (g/cm3) = 7.0
# - formation energy without anion corrections (kJ/mol of atoms) = -69
# - E above lowest polymorph (meV per atom) = 22
data_La2CdSb
_cell_length_a 4.481
_cell_length_b 4.579
_cell_length_c 11.873
_cell_angle_alpha 90.00
_cell_angle_beta 90.00
_cell_angle_gamma 90.00
_space_group_name_H-M_alt 'A m m 2'
_space_group_IT_number 38
loop_
_space_group_symop_operation_xyz
'x,y,z'
'-x,-y,z'
'-x,y,z'
'x,-y,z'
'x,y+1/2,z+1/2'
'-x,-y+1/2,z+1/2'
'-x,y+1/2,z+1/2'
'x,-y+1/2,z+1/2'
loop_
_atom_site_label
_atom_site_type_symbol
_atom_site_fract_x
_atom_site_fract_y
_atom_site_fract_z
_atom_site_occupancy
La1 La 0.000 0.000 0.000 1
La2 La 0.500 0.000 0.281 1
Cd1 Cd 0.500 0.000 0.555 1
Sb1 Sb 0.000 0.000 0.723 1

Entry 2:
# La3CdSb GGA-PBEsol optimized geometry
# - magnetic moment (μB per atom) = 0.000
# - density (g/cm3) = 5.2
# - formation energy without anion corrections (kJ/mol of atoms) = 0
data_La3CdSb
_cell_length_a 5.932
_cell_length_b 5.932
_cell_length_c 5.932
_cell_angle_alpha 90.00
_cell_angle_beta 90.00
_cell_angle_gamma 90.00
_space_group_name_H-M_alt 'P m -3 m'
_space_group_IT_number 221
_space_group_name_Hall '-P 4 2 3'
loop_
_atom_site_label
_atom_site_type_symbol
_atom_site_fract_x
_atom_site_fract_y
_atom_site_fract_z
_atom_site_occupancy
La1 La 0.000 0.000 0.500 1
Cd1 Cd 0.500 0.500 0.500 1
Sb1 Sb 0.000 0.000 0.000 1

Entry 3:
# La2CdSb GGA-PBEsol optimized geometry
# - magnetic moment (μB per atom) = 0.000
# - density (g/cm3) = 7.7
# - formation energy without anion corrections (kJ/mol of atoms) = -20
# - E above lowest polymorph (meV per atom) = 527
data_La2CdSb
_cell_length_a 7.622
_cell_length_b 7.622
_cell_length_c 7.622
_cell_angle_alpha 90.00
_cell_angle_beta 90.00
_cell_angle_gamma 90.00
_space_group_name_H-M_alt 'F -4 3 m'
_space_group_IT_number 216
_space_group_name_Hall 'F -4 2 3'
loop_
_atom_site_label
_atom_site_type_symbol
_atom_site_fract_x
_atom_site_fract_y
_atom_site_fract_z
_atom_site_occupancy
La1 La 0.000 0.000 0.000 1
La2 La 0.250 0.250 0.250 1
Cd1 Cd 0.250 0.250 0.750 1
Sb1 Sb 0.000 0.000 0.500 1

Entry 4:
# LaCdSb4 GGA-PBEsol optimized geometry
# - magnetic moment (μB per atom) = 0.000
# - density (g/cm3) = 7.3
# - formation energy without anion corrections (kJ/mol of atoms) = -19
data_LaCdSb4
_cell_length_a 8.773
_cell_length_b 8.773
_cell_length_c 8.773
_cell_angle_alpha 90.00
_cell_angle_beta 90.00
_cell_angle_gamma 90.00
_space_group_name_H-M_alt 'F -4 3 m'
_space_group_IT_number 216
_space_group_name_Hall 'F -4 2 3'
loop_
_atom_site_label
_atom_site_type_symbol
_atom_site_fract_x
_atom_site_fract_y
_atom_site_fract_z
_atom_site_occupancy
La1 La 0.000 0.000 0.000 1
Cd1 Cd 0.250 0.250 0.250 1
Sb1 Sb 0.124 0.124 0.624 1

Entry 5:
# LaCdSb2 GGA-PBEsol optimized geometry
# - magnetic moment (μB per atom) = 0.000
# - density (g/cm3) = 7.9
# - formation energy without anion corrections (kJ/mol of atoms) = -63
data_LaCdSb2
_cell_length_a 4.885
_cell_length_b 4.885
_cell_length_c 4.372
_cell_angle_alpha 90.00
_cell_angle_beta 90.00
_cell_angle_gamma 90.00
_space_group_name_H-M_alt 'P 4/m m m'
_space_group_IT_number 123
_space_group_name_Hall '-P 4 2'
loop_
_atom_site_label
_atom_site_type_symbol
_atom_site_fract_x
_atom_site_fract_y
_atom_site_fract_z
_atom_site_occupancy
La1 La 0.000 0.000 0.000 1
Cd1 Cd 0.500 0.500 0.000 1
Sb1 Sb 0.000 0.500 0.500 1

Entry 6:
# LaCdSb2 GGA-PBEsol optimized geometry
# - magnetic moment (μB per atom) = 0.000
# - density (g/cm3) = 7.5
# - formation energy without anion corrections (kJ/mol of atoms) = -58
data_LaCdSb2
_cell_length_a 11.248
_cell_length_b 4.471
_cell_length_c 4.553
_cell_angle_alpha 90.00
_cell_angle_beta 107.35
_cell_angle_gamma 90.00
_space_group_name_H-M_alt 'C 1 m 1'
_space_group_IT_number 8
loop_
_space_group_symop_operation_xyz
'x,y,z'
'x,-y,z'
'x+1/2,y+1/2,z'
'x+1/2,-y+1/2,z'
loop_
_atom_site_label
_atom_site_type_symbol
_atom_site_fract_x
_atom_site_fract_y
_atom_site_fract_z
_atom_site_occupancy
La1 La 0.000 0.000 0.000 1
Cd1 Cd 0.258 0.500 0.331 1
Sb1 Sb 0.022 0.500 0.507 1
Sb2 Sb 0.275 0.000 0.896 1

Entry 7:
# LaCdSb2Te GGA-PBEsol optimized geometry
# - magnetic moment (μB per atom) = 0.000
# - density (g/cm3) = 6.5
# - formation energy without anion corrections (kJ/mol of atoms) = -1
data_LaCdSb2Te
_cell_length_a 5.368
_cell_length_b 5.368
_cell_length_c 5.519
_cell_angle_alpha 90.00
_cell_angle_beta 90.00
_cell_angle_gamma 90.00
_space_group_name_H-M_alt 'P 4/m m m'
_space_group_IT_number 123
_space_group_name_Hall '-P 4 2'
loop_
_atom_site_label
_atom_site_type_symbol
_atom_site_fract_x
_atom_site_fract_y
_atom_site_fract_z
_atom_site_occupancy
La1 La 0.000 0.000 0.000 1
Cd1 Cd 0.500 0.500 0.500 1
Sb1 Sb 0.000 0.500 0.500 1
Te1 Te 0.500 0.500 0.000 1

Entry 8:
# LaZnCdSb2 GGA-PBEsol optimized geometry
# - magnetic moment (μB per atom) = 0.000
# - density (g/cm3) = 6.9
# - formation energy without anion corrections (kJ/mol of atoms) = -16
data_LaZnCdSb2
_cell_length_a 5.277
_cell_length_b 5.277
_cell_length_c 4.832
_cell_angle_alpha 90.00
_cell_angle_beta 90.00
_cell_angle_gamma 90.00
_space_group_name_H-M_alt 'P 4/m m m'
_space_group_IT_number 123
_space_group_name_Hall '-P 4 2'
loop_
_atom_site_label
_atom_site_type_symbol
_atom_site_fract_x
_atom_site_fract_y
_atom_site_fract_z
_atom_site_occupancy
La1 La 0.000 0.000 0.000 1
Zn1 Zn 0.500 0.500 0.500 1
Cd1 Cd 0.500 0.500 0.000 1
Sb1 Sb 0.000 0.500 0.500 1

Entry 9:
# LaScCd2 GGA-PBEsol optimized geometry
# - magnetic moment (μB per atom) = 0.088
# - density (g/cm3) = 6.7
# - E above lowest polymorph (meV per atom) = 41
# - E_form (eV/atom) = -0.27
data_LaScCd2
_cell_length_a 7.386
_cell_length_b 7.386
_cell_length_c 7.386
_cell_angle_alpha 90.00
_cell_angle_beta 90.00
_cell_angle_gamma 90.00
_space_group_name_H-M_alt 'F m -3 m'
_space_group_IT_number 225
_space_group_name_Hall '-F 4 2 3'
loop_
_atom_site_label
_atom_site_type_symbol
_atom_site_fract_x
_atom_site_fract_y
_atom_site_fract_z
_atom_site_occupancy
La1 La 0.000 0.000 0.000 1
Sc1 Sc 0.000 0.000 0.500 1
Cd1 Cd 0.250 0.250 0.250 1

Entry 10:
# La2ScCd GGA-PBEsol optimized geometry
# - magnetic moment (μB per atom) = 0.000
# - density (g/cm3) = 6.3
# - E_form (eV/atom) = -0.09
data_La2ScCd
_cell_length_a 3.671
_cell_length_b 4.494
_cell_length_c 6.917
_cell_angle_alpha 90.00
_cell_angle_beta 90.00
_cell_angle_gamma 90.00
_space_group_name_H-M_alt 'P m m m'
_space_group_IT_number 47
loop_
_space_group_symop_operation_xyz
'x,y,z'
'-x,-y,-z'
'-x,-y,z'
'x,y,-z'
'x,-y,-z'
'-x,y,z'
'-x,y,-z'
'x,-y,z'
loop_
_atom_site_label
_atom_site_type_symbol
_atom_site_fract_x
_atom_site_fract_y
_atom_site_fract_z
_atom_site_occupancy
La1 La 0.000 0.000 0.245 1
Sc1 Sc 0.500 0.500 0.500 1
Cd1 Cd 0.500 0.500 0.000 1

Entry 11:
# La2ScCd GGA-PBEsol optimized geometry
# - magnetic moment (μB per atom) = 0.000
# - density (g/cm3) = 6.3
# - E_form (eV/atom) = -0.10
data_La2ScCd
_cell_length_a 3.492
_cell_length_b 5.149
_cell_length_c 6.611
_cell_angle_alpha 90.00
_cell_angle_beta 105.24
_cell_angle_gamma 90.00
_space_group_name_H-M_alt 'P 1 m 1'
_space_group_IT_number 6
loop_
_space_group_symop_operation_xyz
'x,y,z'
'x,-y,z'
loop_
_atom_site_label
_atom_site_type_symbol
_atom_site_fract_x
_atom_site_fract_y
_atom_site_fract_z
_atom_site_occupancy
La1 La 0.000 0.000 0.000 1
La2 La 0.322 0.500 0.646 1
Sc1 Sc 0.594 0.500 0.190 1
Cd1 Cd 0.724 0.000 0.448 1

Entry 12:
# La2ScCd GGA-PBEsol optimized geometry
# - magnetic moment (μB per atom) = 0.000
# - density (g/cm3) = 6.6
# - E_form (eV/atom) = -0.10
data_La2ScCd
_cell_length_a 4.740
_cell_length_b 4.740
_cell_length_c 9.759
_cell_angle_alpha 90.00
_cell_angle_beta 90.00
_cell_angle_gamma 90.00
_space_group_name_H-M_alt 'I 4/m m m'
_space_group_IT_number 139
_space_group_name_Hall '-I 4 2'
loop_
_atom_site_label
_atom_site_type_symbol
_atom_site_fract_x
_atom_site_fract_y
_atom_site_fract_z
_atom_site_occupancy
La1 La 0.000 0.500 0.250 1
Sc1 Sc 0.000 0.000 0.000 1
Cd1 Cd 0.000 0.000 0.500 1

Entry 13:
# La2ScCd GGA-PBEsol optimized geometry
# - magnetic moment (μB per atom) = 0.000
# - density (g/cm3) = 6.6
# - E_form (eV/atom) = -0.14
data_La2ScCd
_cell_length_a 3.587
_cell_length_b 3.587
_cell_length_c 8.553
_cell_angle_alpha 90.00
_cell_angle_beta 90.00
_cell_angle_gamma 90.00
_space_group_name_H-M_alt 'P 4 m m'
_space_group_IT_number 99
loop_
_space_group_symop_operation_xyz
'x,y,z'
'-y,x,z'
'-x,-y,z'
'y,-x,z'
'-x,y,z'
'y,x,z'
'x,-y,z'
'-y,-x,z'
loop_
_atom_site_label
_atom_site_type_symbol
_atom_site_fract_x
_atom_site_fract_y
_atom_site_fract_z
_atom_site_occupancy
La1 La 0.000 0.000 0.000 1
La2 La 0.500 0.500 0.293 1
Sc1 Sc 0.000 0.000 0.555 1
Cd1 Cd 0.500 0.500 0.740 1

Entry 14:
# LaScCd2 GGA-PBEsol optimized geometry
# - magnetic moment (μB per atom) = 0.001
# - density (g/cm3) = 6.8
# - E above lowest polymorph (meV per atom) = 113
# - E_form (eV/atom) = -0.20
data_LaScCd2
_cell_length_a 4.751
_cell_length_b 4.751
_cell_length_c 4.406
_cell_angle_alpha 90.00
_cell_angle_beta 90.00
_cell_angle_gamma 90.00
_space_group_name_H-M_alt 'P 4/m m m'
_space_group_IT_number 123
_space_group_name_Hall '-P 4 2'
loop_
_atom_site_label
_atom_site_type_symbol
_atom_site_fract_x
_atom_site_fract_y
_atom_site_fract_z
_atom_site_occupancy
La1 La 0.000 0.000 0.000 1
Sc1 Sc 0.500 0.500 0.000 1
Cd1 Cd 0.000 0.500 0.500 1

Entry 15:
# La2ScCd GGA-PBEsol optimized geometry
# - magnetic moment (μB per atom) = 0.000
# - density (g/cm3) = 6.7
# - E_form (eV/atom) = -0.04
data_La2ScCd
_cell_length_a 3.543
_cell_length_b 5.393
_cell_length_c 5.617
_cell_angle_alpha 90.00
_cell_angle_beta 90.00
_cell_angle_gamma 90.00
_space_group_name_H-M_alt 'P m m m'
_space_group_IT_number 47
loop_
_space_group_symop_operation_xyz
'x,y,z'
'-x,-y,-z'
'-x,-y,z'
'x,y,-z'
'x,-y,-z'
'-x,y,z'
'-x,y,-z'
'x,-y,z'
loop_
_atom_site_label
_atom_site_type_symbol
_atom_site_fract_x
_atom_site_fract_y
_atom_site_fract_z
_atom_site_occupancy
La1 La 0.000 0.000 0.000 1
La2 La 0.500 0.500 0.000 1
Sc1 Sc 0.000 0.500 0.500 1
Cd1 Cd 0.500 0.000 0.500 1